Computed, not measured: an optimized crystal structure of CaTlIn at the PBE-GGA level of DFT.

Cell: 4.8443 4.7971 7.7463 Å, 90.00 107.97 90.00°
Last column: nearest neighbours and their distance in Å.
Space group P2/m (No. 10)
One atom of each set of equivalent atoms:
Ca (0.1561, 0.0000, 0.3115)  4 Tl 3.32-3.35, 6 In 3.42-3.44, 2 Ca 3.68-3.69
Tl (0.0000, 0.5000, 0.0000)  4 Ca 3.32, 4 Tl 3.41, 4 In 3.55-3.57
Tl (0.5000, 0.0000, 0.0000)  4 Ca 3.33-3.35, 4 Tl 3.41, 4 In 3.54
In (0.3222, 0.5000, 0.6460)  2 In 3.24, 6 Ca 3.42-3.44, 4 Tl 3.54-3.57

Properties
E: -2.672 eV per atom
DFT formation energy: -0.303 eV per atom
Magnetization: 0.00 μB/f.u.

Computed, not measured: an optimized crystal structure of Ca4Tl5In at the PBE-GGA level of DFT.

Cell: 3.9413 3.9413 18.7828 Å, 90.00 90.00 90.00°
Last column: nearest neighbours and their distance in Å.
Space group P4/mmm (No. 123)
One atom of each set of equivalent atoms:
Ca (0.0000, 0.0000, 0.1010)  8 Tl 3.37
Ca (0.0000, 0.0000, 0.3055)  8 Tl 3.37-3.40, 1 In 3.65
Tl (0.5000, 0.5000, 0.0000)  8 Ca 3.37
Tl (0.5000, 0.5000, 0.2019)  8 Ca 3.37-3.40
Tl (0.5000, 0.5000, 0.4067)  4 In 3.29, 4 Ca 3.37, 1 Tl 3.50
In (0.0000, 0.0000, 0.5000)  8 Tl 3.29, 2 Ca 3.65

Properties
E: -2.602 eV per atom
DFT formation energy: -0.345 eV per atom
Magnetization: 0.00 μB/f.u.

Computed, not measured: an optimized crystal structure of Ca2Tl5In at the PBE-GGA level of DFT.

Cell: 6.7874 13.5828 4.9207 Å, 90.00 90.00 90.00°
Last column: nearest neighbours and their distance in Å.
Space group Pbam (No. 55)
One atom of each set of equivalent atoms:
Ca (0.2372, 0.1260, 0.0000)  10 Tl 3.37-3.44, 2 In 3.49
Tl (0.0000, 0.0000, 0.5000)  2 In 3.39, 4 Ca 3.40, 6 Tl 3.42-3.48
Tl (0.0109, 0.7484, 0.5000)  1 In 3.37, 7 Tl 3.39-3.49, 4 Ca 3.43-3.44
Tl (0.2332, 0.3778, 0.0000)  2 In 3.36, 4 Ca 3.37-3.42, 6 Tl 3.43-3.49
In (0.0000, 0.5000, 0.5000)  8 Tl 3.36-3.39, 4 Ca 3.49

Properties
E: -2.563 eV per atom
DFT formation energy: -0.242 eV per atom
Magnetization: 0.00 μB/f.u.

Computed, not measured: an optimized crystal structure of CaTlIn4 at the PBE-GGA level of DFT.

Cell: 8.8202 8.8202 8.8202 Å, 90.00 90.00 90.00°
Last column: nearest neighbours and their distance in Å.
Space group F-43m (No. 216)
One atom of each set of equivalent atoms:
Ca (0.0000, 0.0000, 0.0000)  12 In 3.66, 4 Tl 3.82
Tl (0.2500, 0.2500, 0.2500)  12 In 3.66, 4 Ca 3.82
In (0.1249, 0.1249, 0.6249)  6 In 3.12

Properties
E: -2.698 eV per atom
DFT formation energy: -0.145 eV per atom
Magnetization: 0.00 μB/f.u.
Relative energy among the computed polymorphs: 48 meV/atom

Computed, not measured: an optimized crystal structure of Ca3Tl4In at the PBE-GGA level of DFT.

Cell: 3.6954 10.1832 12.9461 Å, 90.00 90.00 90.00°
Last column: nearest neighbours and their distance in Å.
Space group Immm (No. 71)
One atom of each set of equivalent atoms:
Ca (0.0000, 0.0000, 0.0000)  8 Tl 3.47, 2 Ca 3.70
Ca (0.0000, 0.5000, 0.2092)  6 Tl 3.19-3.41, 2 In 3.28
Tl (0.0000, 0.2633, 0.3703)  1 In 3.16, 5 Ca 3.19-3.47, 1 Tl 3.36
In (0.0000, 0.0000, 0.5000)  4 Tl 3.16, 4 Ca 3.28

Properties
E: -2.534 eV per atom
DFT formation energy: -0.258 eV per atom
Magnetization: 0.00 μB/f.u.
Relative energy among the computed polymorphs: 71 meV/atom

Computed, not measured: an optimized crystal structure of Ca8Tl2In at the PBE-GGA level of DFT.

Cell: 5.4407 8.2499 16.2718 Å, 90.00 90.00 90.00°
Last column: nearest neighbours and their distance in Å.
Space group Immm (No. 71)
One atom of each set of equivalent atoms:
Ca (0.0000, 0.0000, 0.1582)  8 Ca 3.51-3.55, 2 Tl 3.73, 2 In 3.75
Ca (0.0000, 0.2258, 0.3442)  3 Tl 3.33-3.44, 1 In 3.40, 6 Ca 3.54-3.73
Ca (0.0000, 0.2900, 0.0000)  7 Ca 3.47-3.72, 2 Tl 3.47, 2 In 3.62
Tl (0.0000, 0.5000, 0.1849)  8 Ca 3.33-3.47
In (0.0000, 0.5000, 0.5000)  12 Ca 3.40-3.75

Properties
E: -2.403 eV per atom
DFT formation energy: -0.268 eV per atom
Magnetization: 0.00 μB/f.u.
Relative energy among the computed polymorphs: 0 meV/atom

Computed, not measured: an optimized crystal structure of Ca4Tl5In2 at the PBE-GGA level of DFT.

Cell: 9.9429 3.7401 10.0103 Å, 90.00 118.39 90.00°
Last column: nearest neighbours and their distance in Å.
Space group P2/m (No. 10)
One atom of each set of equivalent atoms:
Ca (0.2299, 0.0000, 0.2250)  2 In 3.35, 8 Tl 3.36-3.40, 2 Ca 3.74
Ca (0.2542, 0.0000, 0.7547)  4 Tl 3.31-3.32, 4 In 3.31-3.64
Tl (0.0882, 0.5000, 0.9066)  1 In 3.05, 2 Tl 3.11-3.12, 6 Ca 3.31-3.37
Tl (0.1248, 0.5000, 0.4438)  2 Tl 3.12-3.17, 4 Ca 3.32-3.40
Tl (0.5000, 0.5000, 0.5000)  4 Ca 3.36, 4 Tl 3.50-3.74, 2 In 3.65
In (0.4341, 0.5000, 0.1086)  1 In 3.03, 1 Tl 3.05, 4 Ca 3.31-3.35

Properties
E: -2.600 eV per atom
DFT formation energy: -0.299 eV per atom
Magnetization: 0.00 μB/f.u.
Relative energy among the computed polymorphs: 18 meV/atom

Computed, not measured: an optimized crystal structure of CaTlIn2 at the PBE-GGA level of DFT.

Cell: 4.7512 4.7512 4.8298 Å, 90.00 90.00 90.00°
Last column: nearest neighbours and their distance in Å.
Space group P4/mmm (No. 123)
One atom of each set of equivalent atoms:
Ca (0.0000, 0.0000, 0.0000)  4 Tl 3.36, 8 In 3.39
Tl (0.5000, 0.5000, 0.0000)  4 Ca 3.36, 8 In 3.39
In (0.0000, 0.5000, 0.5000)  4 In 3.36, 4 Tl 3.39, 4 Ca 3.39

Properties
E: -2.745 eV per atom
DFT formation energy: -0.284 eV per atom
Magnetization: 0.00 μB/f.u.

Computed, not measured: an optimized crystal structure of CaTlIn2 at the PBE-GGA level of DFT.

Cell: 3.4030 5.5265 6.0465 Å, 90.00 93.89 90.00°
Last column: nearest neighbours and their distance in Å.
Space group P2/m (No. 10)
One atom of each set of equivalent atoms:
Ca (0.0000, 0.0000, 0.0000)  4 Tl 3.37-3.57, 2 Ca 3.40, 8 In 3.49-3.66
Tl (0.5000, 0.0000, 0.5000)  4 In 3.18, 2 Ca 3.37, 2 Tl 3.40
In (0.4177, 0.5000, 0.7530)  2 In 3.00-3.15, 2 Tl 3.18

Properties
E: -2.655 eV per atom
DFT formation energy: -0.194 eV per atom
Magnetization: 0.00 μB/f.u.

Computed, not measured: an optimized crystal structure of Ca3TlIn12 at the PBE-GGA level of DFT.

Cell: 4.7414 4.7414 19.0434 Å, 90.00 90.00 90.00°
Last column: nearest neighbours and their distance in Å.
Space group P4/mmm (No. 123)
One atom of each set of equivalent atoms:
Ca (0.0000, 0.0000, 0.0000)  12 In 3.34-3.35
Ca (0.0000, 0.0000, 0.2462)  12 In 3.33-3.35
Tl (0.0000, 0.0000, 0.5000)  12 In 3.35-3.42
In (0.0000, 0.5000, 0.1235)  8 In 3.28-3.35, 4 Ca 3.33-3.34
In (0.0000, 0.5000, 0.3707)  2 Ca 3.35, 8 In 3.35-3.42, 2 Tl 3.42
In (0.5000, 0.5000, 0.0000)  8 In 3.34, 4 Ca 3.35
In (0.5000, 0.5000, 0.2428)  8 In 3.28-3.40, 4 Ca 3.35
In (0.5000, 0.5000, 0.5000)  4 Tl 3.35, 8 In 3.42

Properties
E: -2.800 eV per atom
DFT formation energy: -0.223 eV per atom
Magnetization: 0.00 μB/f.u.

Computed, not measured: an optimized crystal structure of CaTl3In at the PBE-GGA level of DFT.

Cell: 4.9040 7.8252 7.9449 Å, 90.00 90.00 90.00°
Last column: nearest neighbours and their distance in Å.
Space group Pmmn (No. 59, origin choice 2)
One atom of each set of equivalent atoms:
Ca (0.2500, 0.2500, 0.2269)  6 Tl 3.35-3.48, 2 In 3.40
Tl (0.2500, 0.0409, 0.7777)  3 In 3.19-3.25, 4 Tl 3.27-3.51, 2 Ca 3.35
Tl (0.2500, 0.7500, 0.4615)  1 In 3.11, 2 Tl 3.39, 2 Ca 3.48
In (0.2500, 0.7500, 0.0695)  7 Tl 3.11-3.25, 2 Ca 3.40

Properties
E: -2.499 eV per atom
DFT formation energy: -0.131 eV per atom
Magnetization: 0.00 μB/f.u.
Relative energy among the computed polymorphs: 38 meV/atom

Computed, not measured: an optimized crystal structure of CaTl3In3 at the PBE-GGA level of DFT.

Cell: 8.2248 8.2248 8.2248 Å, 90.00 90.00 90.00°
Last column: nearest neighbours and their distance in Å.
Space group Pm-3n (No. 223)
One atom of each set of equivalent atoms:
Ca (0.0000, 0.0000, 0.0000)  12 Tl 4.60, 12 In 4.60
Tl (0.0000, 0.2500, 0.5000)  4 In 2.91
In (0.0000, 0.5000, 0.2500)  4 Tl 2.91

Properties
E: -2.173 eV per atom
DFT formation energy: 0.301 eV per atom
Magnetization: 0.00 μB/f.u.

Computed, not measured: an optimized crystal structure of CaTl4In2 at the PBE-GGA level of DFT.

Cell: 6.8478 6.8478 9.1783 Å, 90.00 90.00 90.00°
Last column: nearest neighbours and their distance in Å.
Space group I4/mmm (No. 139)
One atom of each set of equivalent atoms:
Ca (0.0000, 0.0000, 0.0000)  8 Tl 3.34, 4 In 3.42
Tl (0.2500, 0.2500, 0.2500)  2 Ca 3.34, 4 In 3.34, 4 Tl 3.42
In (0.0000, 0.5000, 0.0000)  8 Tl 3.34, 2 Ca 3.42

Properties
E: -2.496 eV per atom
DFT formation energy: -0.076 eV per atom
Magnetization: 0.00 μB/f.u.

Computed, not measured: an optimized crystal structure of CaTl3In at the PBE-GGA level of DFT.

Cell: 5.7489 5.7489 5.7489 Å, 90.00 90.00 90.00°
Last column: nearest neighbours and their distance in Å.
Space group Pm-3m (No. 221)
One atom of each set of equivalent atoms:
Ca (0.0000, 0.0000, 0.0000)  12 Tl 4.07
Tl (0.0000, 0.5000, 0.5000)  2 In 2.87
In (0.5000, 0.5000, 0.5000)  6 Tl 2.87

Properties
E: -2.181 eV per atom
DFT formation energy: 0.187 eV per atom
Magnetization: 0.00 μB/f.u.
Relative energy among the computed polymorphs: 356 meV/atom

Computed, not measured: an optimized crystal structure of CaTlIn2 at the PBE-GGA level of DFT.

Cell: 4.7379 4.7379 9.8774 Å, 90.00 90.00 90.00°
Last column: nearest neighbours and their distance in Å.
Space group I4/mmm (No. 139)
One atom of each set of equivalent atoms:
Ca (0.0000, 0.0000, 0.0000)  4 Tl 3.35, 8 In 3.42
Tl (0.0000, 0.0000, 0.5000)  4 Ca 3.35, 8 In 3.42
In (0.0000, 0.5000, 0.2500)  4 In 3.35, 4 Tl 3.42, 4 Ca 3.42

Properties
E: -2.717 eV per atom
DFT formation energy: -0.256 eV per atom
Magnetization: 0.00 μB/f.u.

Computed, not measured: an optimized crystal structure of CaTl4In at the PBE-GGA level of DFT.

Cell: 5.7683 7.1495 8.7440 Å, 90.00 103.60 90.00°
Last column: nearest neighbours and their distance in Å.
Space group P2_1/m (No. 11)
One atom of each set of equivalent atoms:
Ca (0.2418, 0.2500, 0.1685)  9 Tl 3.38-3.51, 3 In 3.58-3.59
Tl (0.0102, 0.7500, 0.5032)  10 Tl 3.35-3.58, 1 Ca 3.51, 1 In 3.57
Tl (0.2500, 0.0089, 0.8333)  3 In 3.32-3.44, 3 Ca 3.38-3.47, 6 Tl 3.43-3.70
Tl (0.5000, 0.0000, 0.5000)  8 Tl 3.35-3.57, 2 In 3.43, 2 Ca 3.43
In (0.2580, 0.7500, 0.1659)  9 Tl 3.32-3.57, 3 Ca 3.58-3.59

Properties
E: -2.508 eV per atom
DFT formation energy: -0.140 eV per atom
Magnetization: 0.00 μB/f.u.
Relative energy among the computed polymorphs: 0 meV/atom

Computed, not measured: an optimized crystal structure of CaTl12In6 at the PBE-GGA level of DFT.

Cell: 11.7292 11.7292 14.4052 Å, 90.00 90.00 120.00°
Last column: nearest neighbours and their distance in Å.
Space group R-3 (No. 148, hexagonal axes)
One atom of each set of equivalent atoms:
Ca (0.0000, 0.0000, 0.0000)  6 In 3.29, 6 Tl 3.39
Tl (0.0418, 0.8555, 0.8089)  4 Tl 3.30-3.44, 1 Ca 3.39, 5 In 3.42-3.66
Tl (0.0684, 0.2172, 0.4128)  4 In 3.27-3.46, 4 Tl 3.38-3.42
In (0.0249, 0.5864, 0.7037)  8 Tl 3.27-3.54, 1 Ca 3.29, 2 In 3.42

Properties
E: -2.478 eV per atom
DFT formation energy: -0.014 eV per atom
Magnetization: 0.00 μB/f.u.
Relative energy among the computed polymorphs: 0 meV/atom

Computed, not measured: an optimized crystal structure of Ca6Tl2In at the PBE-GGA level of DFT.

Cell: 10.4744 10.4798 5.4139 Å, 90.00 90.00 90.00°
Last column: nearest neighbours and their distance in Å.
Space group Pnnm (No. 58)
One atom of each set of equivalent atoms:
Ca (0.0277, 0.1925, 0.0000)  1 In 3.24, 3 Tl 3.36-3.46
Ca (0.1223, 0.6216, 0.5000)  2 In 3.25, 2 Tl 3.56, 1 Ca 3.61
Ca (0.1924, 0.9718, 0.5000)  1 In 3.24, 3 Tl 3.36-3.46
Tl (0.2069, 0.2925, 0.5000)  10 Ca 3.36-3.71
In (0.0000, 0.5000, 0.0000)  8 Ca 3.24-3.25

Properties
E: -2.472 eV per atom
DFT formation energy: -0.308 eV per atom
Magnetization: 0.00 μB/f.u.

Computed, not measured: an optimized crystal structure of Ca2Tl7In2 at the PBE-GGA level of DFT.

Cell: 3.7155 7.5260 12.2499 Å, 87.34 83.44 75.88°
Last column: nearest neighbours and their distance in Å.
Space group P-1 (No. 2)
One atom of each set of equivalent atoms:
Ca (0.1638, 0.4124, 0.2517)  2 In 3.39-3.41, 9 Tl 3.44-3.73, 2 Ca 3.72
Tl (0.1036, 0.9365, 0.8706)  6 Tl 3.30-3.58, 2 In 3.38-3.44, 2 Ca 3.48-3.53
Tl (0.2473, 0.9011, 0.5955)  2 In 3.16-3.20, 4 Tl 3.17-3.36, 2 Ca 3.44-3.48
Tl (0.3589, 0.3237, 0.9508)  1 In 3.21, 6 Tl 3.36-3.58, 1 Ca 3.55
Tl (0.5000, 0.5000, 0.5000)  2 Tl 3.17, 2 In 3.19
In (0.4523, 0.7922, 0.3018)  6 Tl 3.16-3.44, 2 Ca 3.39-3.41

Properties
E: -2.475 eV per atom
DFT formation energy: -0.108 eV per atom
Magnetization: 0.00 μB/f.u.
Relative energy among the computed polymorphs: 3 meV/atom

Computed, not measured: an optimized crystal structure of Ca3Tl6In at the PBE-GGA level of DFT.

Cell: 13.0254 13.0254 6.3597 Å, 90.00 90.00 120.00°
Last column: nearest neighbours and their distance in Å.
Space group R-3m (No. 166, hexagonal axes)
One atom of each set of equivalent atoms:
Ca (0.0000, 0.5000, 0.0000)  8 Tl 3.44-3.55
Tl (0.0992, 0.1983, 0.8294)  3 Tl 3.05-3.12, 1 In 3.07
In (0.0000, 0.0000, 0.5000)  6 Tl 3.07

Properties
E: -2.469 eV per atom
DFT formation energy: -0.175 eV per atom
Magnetization: 0.00 μB/f.u.